Record 1
Compound: CsAlHg2
Source: Alexandria via LeMat-Bulk
Functional: SCAN
Structure: PBEsol geometry

The structure in POSCAR format:
```
CsAlHg2
1.0
6.2008 0.0000 0.0000
0.0000 6.2008 0.0000
0.0000 0.0000 16.3393
Cs Al Hg
4 4 8
direct
0.0000 0.0000 0.0000
0.0000 0.5000 0.2500
0.5000 0.0000 0.7500
0.5000 0.5000 0.5000
0.0000 0.0000 0.5000
0.0000 0.5000 0.7500
0.5000 0.0000 0.2500
0.5000 0.5000 0.0000
0.0483 0.2500 0.6250
0.2500 0.5483 0.8750
0.2500 0.9517 0.3750
0.4517 0.2500 0.1250
0.5483 0.7500 0.1250
0.7500 0.0483 0.3750
0.7500 0.4517 0.8750
0.9517 0.7500 0.6250
```

* calculated formation energy: -0.1503 eV per atom
* total moment: 0.00 μB/f.u.
* SG: I-42d (122)

***

Record 2
Compound: Cu2SiBr
Source: Alexandria via LeMat-Bulk
Functional: SCAN
Structure: PBEsol geometry

The structure in POSCAR format:
```
Cu2SiBr
1.0
5.3676 0.0000 0.0000
0.0000 7.2650 0.0000
0.0000 0.0000 3.1545
Cu Si Br
4 2 2
direct
0.2500 0.2500 0.0000
0.2500 0.7500 0.0000
0.7500 0.2500 0.0000
0.7500 0.7500 0.0000
0.0000 0.0000 0.5000
0.5000 0.5000 0.5000
0.0000 0.5000 0.5000
0.5000 0.0000 0.5000
```

* total moment: 0.00 μB/f.u.
* offset from the most stable computed form: 0 meV per atom
* E_form (uncorrected): 0.61 eV/atom
* SG: Cmmm (65)

***

Record 3
Compound: CaLaTl2O
Source: Alexandria via LeMat-Bulk
Functional: SCAN
Structure: PBEsol geometry

The structure in POSCAR format:
```
CaLaTl2O
1.0
5.6545 0.0000 0.0000
0.0000 5.6545 0.0000
0.0000 0.0000 4.3653
Ca La Tl O
1 1 2 1
direct
0.0000 0.0000 0.0000
0.5000 0.5000 0.0000
0.0000 0.5000 0.5000
0.5000 0.0000 0.5000
0.5000 0.5000 0.5000
```

* total moment: 0.00 μB/f.u.
* E_form (uncorrected): -1.09 eV/atom
* SG: P4/mmm (123)